This record from Alexandria describes NbSnRh2 after structural relaxation. The functional is PBE-GGA.

Output
DOS at the Fermi energy: 19.1 states/eV/cell
DFT total energy: -27.32 eV/f.u.
total moment: 0.0 μB per formula unit

Structure (CIF):
```
data_NbSnRh2
_chemical_formula_sum 'Nb4 Sn4 Rh8'
_symmetry_space_group_name_H-M 'I -4 2 d'
_symmetry_Int_Tables_number 122
_symmetry_space_group_name_Hall 'I -4 2bw'
_cell_length_a 5.848
_cell_length_b 5.848
_cell_length_c 11.486
_cell_angle_alpha 90.00
_cell_angle_beta 90.00
_cell_angle_gamma 90.00
loop_
_atom_site_label
_atom_site_type_symbol
_atom_site_fract_x
_atom_site_fract_y
_atom_site_fract_z
_atom_site_occupancy
Nb1 Nb 0.000 0.000 0.000 1
Sn1 Sn 0.000 0.000 0.500 1
Rh1 Rh 0.233 0.250 0.125 1
```

This record from Alexandria describes Nb14SnRh after structural relaxation. The functional is PBE-GGA.

Output
DOS at the Fermi energy: 35.7 states/eV/cell
DFT total energy: -153.87 eV/f.u.
total moment: 0.0 μB per formula unit

Structure (CIF):
```
data_Nb14SnRh
_chemical_formula_sum 'Nb28 Sn2 Rh2'
_symmetry_space_group_name_H-M 'C m m m'
_symmetry_Int_Tables_number 65
_symmetry_space_group_name_Hall '-C 2 2'
_cell_length_a 6.816
_cell_length_b 9.320
_cell_length_c 9.178
_cell_angle_alpha 90.00
_cell_angle_beta 90.00
_cell_angle_gamma 90.00
loop_
_atom_site_label
_atom_site_type_symbol
_atom_site_fract_x
_atom_site_fract_y
_atom_site_fract_z
_atom_site_occupancy
Nb1 Nb 0.000 0.000 0.000 1
Nb2 Nb 0.000 0.245 0.255 1
Nb3 Nb 0.000 0.500 0.000 1
Nb4 Nb 0.237 0.500 0.248 1
Nb5 Nb 0.250 0.250 0.000 1
Nb6 Nb 0.250 0.250 0.500 1
Sn1 Sn 0.000 0.000 0.500 1
Rh1 Rh 0.000 0.500 0.500 1
```

This record from Alexandria describes Nb3SnRh4 after structural relaxation. The functional is PBE-GGA.

Output
DOS at the Fermi energy: 10.9 states/eV/cell
DFT total energy: -66.96 eV/f.u.
total moment: 0.0 μB per formula unit

Structure (CIF):
```
data_Nb3SnRh4
_chemical_formula_sum 'Nb6 Sn2 Rh8'
_symmetry_space_group_name_H-M 'P m m a'
_symmetry_Int_Tables_number 51
_cell_length_a 9.258
_cell_length_b 5.767
_cell_length_c 4.888
_cell_angle_alpha 90.00
_cell_angle_beta 90.00
_cell_angle_gamma 90.00
loop_
_symmetry_equiv_pos_as_xyz
'x,y,z'
'-x,-y,-z'
'-x+1/2,-y,z'
'x+1/2,y,-z'
'x+1/2,-y,-z'
'-x+1/2,y,z'
'-x,y,-z'
'x,-y,z'
loop_
_atom_site_label
_atom_site_type_symbol
_atom_site_fract_x
_atom_site_fract_y
_atom_site_fract_z
_atom_site_occupancy
Nb1 Nb 0.000 0.000 0.000 1
Nb2 Nb 0.250 0.000 0.376 1
Nb3 Nb 0.250 0.500 0.391 1
Sn1 Sn 0.000 0.500 0.000 1
Rh1 Rh 0.000 0.245 0.500 1
Rh2 Rh 0.250 0.247 0.866 1
```

This record from Alexandria describes Nb2SnRh after structural relaxation. The functional is PBE-GGA.

Output
DOS at the Fermi energy: 8.3 states/eV/cell
DFT total energy: -30.65 eV/f.u.
total moment: 0.0 μB per formula unit

Structure (CIF):
```
data_Nb2SnRh
_chemical_formula_sum 'Nb8 Sn4 Rh4'
_symmetry_space_group_name_H-M 'I -4 2 d'
_symmetry_Int_Tables_number 122
_symmetry_space_group_name_Hall 'I -4 2bw'
_cell_length_a 3.872
_cell_length_b 3.872
_cell_length_c 20.398
_cell_angle_alpha 90.00
_cell_angle_beta 90.00
_cell_angle_gamma 90.00
loop_
_atom_site_label
_atom_site_type_symbol
_atom_site_fract_x
_atom_site_fract_y
_atom_site_fract_z
_atom_site_occupancy
Nb1 Nb 0.246 0.250 0.125 1
Sn1 Sn 0.000 0.000 0.000 1
Rh1 Rh 0.000 0.000 0.500 1
```

This record from Alexandria describes Nb2SnRh3 after structural relaxation. The functional is PBE-GGA.

Output
DOS at the Fermi energy: 14.7 states/eV/cell
DFT total energy: -48.43 eV/f.u.
total moment: 0.0 μB per formula unit

Structure (CIF):
```
data_Nb2SnRh3
_chemical_formula_sum 'Nb4 Sn2 Rh6'
_symmetry_space_group_name_H-M 'P m m n'
_symmetry_Int_Tables_number 59
_cell_length_a 4.173
_cell_length_b 12.439
_cell_length_c 3.819
_cell_angle_alpha 90.00
_cell_angle_beta 90.00
_cell_angle_gamma 90.00
loop_
_symmetry_equiv_pos_as_xyz
'x,y,z'
'-x,-y,-z'
'-x+1/2,-y+1/2,z'
'x+1/2,y+1/2,-z'
'x+1/2,-y,-z'
'-x+1/2,y,z'
'-x,y+1/2,-z'
'x,-y+1/2,z'
loop_
_atom_site_label
_atom_site_type_symbol
_atom_site_fract_x
_atom_site_fract_y
_atom_site_fract_z
_atom_site_occupancy
Nb1 Nb 0.250 0.079 0.001 1
Sn1 Sn 0.250 0.750 0.000 1
Rh1 Rh 0.250 0.250 0.502 1
Rh2 Rh 0.250 0.579 0.500 1
```

This record from Alexandria describes TiNbSnRh after structural relaxation. The functional is PBE-GGA.

Output
DOS at the Fermi energy: 21.4 states/eV/cell
DFT total energy: -30.10 eV/f.u.
total moment: 2.1 μB per formula unit

Structure (CIF):
```
data_TiNbSnRh
_chemical_formula_sum 'Ti4 Nb4 Sn4 Rh4'
_symmetry_space_group_name_H-M 'F -4 3 m'
_symmetry_Int_Tables_number 216
_symmetry_space_group_name_Hall 'F -4 2 3'
_cell_length_a 6.531
_cell_length_b 6.531
_cell_length_c 6.531
_cell_angle_alpha 90.00
_cell_angle_beta 90.00
_cell_angle_gamma 90.00
loop_
_atom_site_label
_atom_site_type_symbol
_atom_site_fract_x
_atom_site_fract_y
_atom_site_fract_z
_atom_site_occupancy
Ti1 Ti 0.000 0.000 0.000 1
Nb1 Nb 0.250 0.250 0.250 1
Sn1 Sn 0.250 0.250 0.750 1
Rh1 Rh 0.000 0.000 0.500 1
```

This record from Alexandria describes NbVSnRh after structural relaxation. The functional is PBE-GGA.

Output
DOS at the Fermi energy: 16.6 states/eV/cell
DFT total energy: -31.12 eV/f.u.
total moment: 1.0 μB per formula unit

Structure (CIF):
```
data_NbVSnRh
_chemical_formula_sum 'Nb4 V4 Sn4 Rh4'
_symmetry_space_group_name_H-M 'F -4 3 m'
_symmetry_Int_Tables_number 216
_symmetry_space_group_name_Hall 'F -4 2 3'
_cell_length_a 6.432
_cell_length_b 6.432
_cell_length_c 6.432
_cell_angle_alpha 90.00
_cell_angle_beta 90.00
_cell_angle_gamma 90.00
loop_
_atom_site_label
_atom_site_type_symbol
_atom_site_fract_x
_atom_site_fract_y
_atom_site_fract_z
_atom_site_occupancy
Nb1 Nb 0.000 0.000 0.000 1
V1 V 0.250 0.250 0.250 1
Sn1 Sn 0.000 0.000 0.500 1
Rh1 Rh 0.250 0.250 0.750 1
```

This record from Alexandria describes SrNb2Rh after structural relaxation. The functional is PBE-GGA.

Output
DOS at the Fermi energy: 23.1 states/eV/cell
energy above the lowest structure with this stoichiometry: 0.1390 eV/atom
DFT total energy: -25.97 eV/f.u.
total moment: 0.0 μB per formula unit

Structure (CIF):
```
data_SrNb2Rh
_chemical_formula_sum 'Sr4 Nb8 Rh4'
_symmetry_space_group_name_H-M 'I -4 2 d'
_symmetry_Int_Tables_number 122
_symmetry_space_group_name_Hall 'I -4 2bw'
_cell_length_a 5.004
_cell_length_b 5.004
_cell_length_c 18.197
_cell_angle_alpha 90.00
_cell_angle_beta 90.00
_cell_angle_gamma 90.00
loop_
_atom_site_label
_atom_site_type_symbol
_atom_site_fract_x
_atom_site_fract_y
_atom_site_fract_z
_atom_site_occupancy
Sr1 Sr 0.000 0.000 0.000 1
Nb1 Nb 0.012 0.250 0.625 1
Rh1 Rh 0.000 0.000 0.500 1
```

This record from Alexandria describes SrNb3Rh after structural relaxation. The functional is PBE-GGA.

Output
DOS at the Fermi energy: 4.5 states/eV/cell
energy above the lowest structure with this stoichiometry: 0.0000 eV/atom
DFT total energy: -34.95 eV/f.u.
total moment: 0.0 μB per formula unit

Structure (CIF):
```
data_SrNb3Rh
_chemical_formula_sum 'Sr1 Nb3 Rh1'
_symmetry_space_group_name_H-M 'P m -3 m'
_symmetry_Int_Tables_number 221
_symmetry_space_group_name_Hall '-P 4 2 3'
_cell_length_a 4.979
_cell_length_b 4.979
_cell_length_c 4.979
_cell_angle_alpha 90.00
_cell_angle_beta 90.00
_cell_angle_gamma 90.00
loop_
_atom_site_label
_atom_site_type_symbol
_atom_site_fract_x
_atom_site_fract_y
_atom_site_fract_z
_atom_site_occupancy
Sr1 Sr 0.000 0.000 0.000 1
Nb1 Nb 0.000 0.500 0.500 1
Rh1 Rh 0.500 0.500 0.500 1
```

This record from Alexandria describes SrNb2Rh after structural relaxation. The functional is PBE-GGA.

Output
DOS at the Fermi energy: 17.2 states/eV/cell
energy above the lowest structure with this stoichiometry: 0.0000 eV/atom
DFT total energy: -26.53 eV/f.u.
total moment: 0.0 μB per formula unit

Structure (CIF):
```
data_SrNb2Rh
_chemical_formula_sum 'Sr4 Nb8 Rh4'
_symmetry_space_group_name_H-M 'F m -3 m'
_symmetry_Int_Tables_number 225
_symmetry_space_group_name_Hall '-F 4 2 3'
_cell_length_a 6.741
_cell_length_b 6.741
_cell_length_c 6.741
_cell_angle_alpha 90.00
_cell_angle_beta 90.00
_cell_angle_gamma 90.00
loop_
_atom_site_label
_atom_site_type_symbol
_atom_site_fract_x
_atom_site_fract_y
_atom_site_fract_z
_atom_site_occupancy
Sr1 Sr 0.000 0.000 0.000 1
Nb1 Nb 0.250 0.250 0.250 1
Rh1 Rh 0.000 0.000 0.500 1
```